# Sb3Te

Sb3Te after structural relaxation (PBE, Alexandria).

Results
* E_tot: -11.2 eV/cell
* E_form (uncorrected): 1.077 eV/atom
* SG: Pm-3m (221)

Cell: 5.8452 5.8452 5.8452 Å, 90.00 90.00 90.00°
With the nearest neighbours (Å) after each atom.
Fractional coordinates of all 4 atoms:
Sb: 0.0000 0.0000 0.5000  2 Te 2.92
Sb: 0.0000 0.5000 0.0000  2 Te 2.92
Sb: 0.5000 0.0000 0.0000  2 Te 2.92
Te: 0.0000 0.0000 0.0000  6 Sb 2.92